LaNd5Er4 | PBE | optimized geometry

```
data_LaNd5Er4
_chemical_formula_sum 'La1 Nd5 Er4'
_symmetry_space_group_name_H-M 'P 1'
_symmetry_Int_Tables_number 1
_cell_length_a 3.637
_cell_length_b 3.637
_cell_length_c 25.357
_cell_angle_alpha 90.00
_cell_angle_beta 90.00
_cell_angle_gamma 90.00
loop_
_symmetry_equiv_pos_as_xyz
'x,y,z'
loop_
_atom_site_label
_atom_site_type_symbol
_atom_site_fract_x
_atom_site_fract_y
_atom_site_fract_z
Er1 Er 0.000 0.000 0.205
Er2 Er 0.000 0.000 0.401
Er3 Er 0.000 0.000 0.599
Er4 Er 0.000 0.000 0.795
Nd1 Nd 0.500 0.500 0.895
Nd2 Nd 0.500 0.500 0.303
Nd3 Nd 0.500 0.500 0.105
Nd4 Nd 0.500 0.500 0.697
Nd5 Nd 0.500 0.500 0.500
La1 La 0.000 0.000 0.000
```

## Properties
- symmetry = P4/mmm (123)
- E_form (eV per atom) = 0.02